# Y3Au, optimized geometry, DFT PBEsol
# ΔE_f   -396 meV per atom
# Crystal system   tetragonal
# Density of states at the Fermi level   1.47 states/eV/atom
# Volume   107 Å³/cell
data_Y3Au
_cell_length_a 3.571
_cell_length_b 3.571
_cell_length_c 8.371
_cell_angle_alpha 90.00
_cell_angle_beta 90.00
_cell_angle_gamma 90.00
_symmetry_space_group_name_H-M 'P 4/m m m'
_symmetry_Int_Tables_number 123
_symmetry_space_group_name_Hall '-P 4 2'
loop_
_atom_site_label
_atom_site_fract_x
_atom_site_fract_y
_atom_site_fract_z
Y1 0.000 0.000 0.000
Y2 0.500 0.500 0.295
Au1 0.000 0.000 0.500